No. 1
Compound: TiCuHPb2
Source: the Alexandria database
Functional: GGA-PBEsol
Structure: relaxed

abc: 4.9746 4.9746 4.8215
angles: 90.00 90.00 90.00
Fractional coordinates of all 5 atoms:
Ti (0.0000, 0.0000, 0.0000)
Cu (0.0000, 0.0000, 0.5000)
H (0.5000, 0.5000, 0.0000)
Pb (0.0000, 0.5000, 0.5000)
Pb (0.5000, 0.0000, 0.5000)

E (eV for the cell shown): -18.756
Calculated volume (Å³/cell): 119.3

---

No. 2
Compound: RbCrW3
Source: the Alexandria database
Functional: GGA-PBEsol
Structure: relaxed

abc: 4.6477 4.6477 4.6477
angles: 90.00 90.00 90.00
Fractional coordinates of all 5 atoms:
Rb (0.0000, 0.0000, 0.0000)
Cr (0.5000, 0.5000, 0.5000)
W (0.0000, 0.5000, 0.5000)
W (0.5000, 0.0000, 0.5000)
W (0.5000, 0.5000, 0.0000)

E (eV for the cell shown): -41.970
Calculated volume (Å³/cell): 100.4
Excess energy over the best structure of this formula in the dataset (meV per atom): 0
ΔE_f (eV/f.u.): 10.7

---

No. 3
Compound: Sm2MnNiO6
Source: the Alexandria database
Functional: GGA-PBEsol
Structure: relaxed

abc: 5.2693 5.4991 9.1683
angles: 90.00 124.83 90.00
Fractional coordinates of all 20 atoms:
Sm (0.2343, 0.0626, 0.2495)
Sm (0.2343, 0.4374, 0.7495)
Sm (0.7657, 0.5626, 0.2505)
Sm (0.7657, 0.9374, 0.7505)
Mn (0.5000, 0.0000, 0.0000)
Mn (0.5000, 0.5000, 0.5000)
Ni (0.0000, 0.0000, 0.5000)
Ni (0.0000, 0.5000, 0.0000)
O (0.1640, 0.1971, 0.9558)
O (0.1640, 0.3029, 0.4558)
O (0.2592, 0.7117, 0.9539)
O (0.2592, 0.7883, 0.4539)
O (0.3416, 0.0197, 0.7554)
O (0.3416, 0.4803, 0.2554)
O (0.6584, 0.5197, 0.7446)
O (0.6584, 0.9803, 0.2446)
O (0.7408, 0.2117, 0.5461)
O (0.7408, 0.2883, 0.0461)
O (0.8360, 0.6971, 0.5442)
O (0.8360, 0.8029, 0.0442)

E (eV for the cell shown): -164.711
Calculated volume (Å³/cell): 218.1
Formation energy without anion corrections (eV/atom): -2.4756

---

No. 4
Compound: TlReRh2
Source: the Alexandria database
Functional: GGA-PBEsol
Structure: relaxed

abc: 4.6965 4.6965 4.9982
angles: 97.76 97.76 34.82
Fractional coordinates of all 4 atoms:
Tl (0.0000, 0.0000, 0.0000)
Re (0.5000, 0.5000, 0.5000)
Rh (0.2449, 0.2449, 0.7249)
Rh (0.7551, 0.7551, 0.2751)

E (eV for the cell shown): -30.765
Calculated volume (Å³/cell): 62.3
Excess energy over the best structure of this formula in the dataset (meV per atom): 0
ΔE_f (eV/f.u.): 1.5

---

No. 5
Compound: PPbSe2
Source: the Alexandria database
Functional: GGA-PBEsol
Structure: relaxed

abc: 4.9297 4.9297 4.9297
angles: 109.20 109.20 110.02
Fractional coordinates of all 4 atoms:
P (0.0000, 0.0000, 0.0000)
Pb (0.5000, 0.5000, 0.0000)
Se (0.0000, 0.5000, 0.5000)
Se (0.5000, 0.0000, 0.5000)

E (eV for the cell shown): -17.051
Calculated volume (Å³/cell): 92.2
Excess energy over the best structure of this formula in the dataset (meV per atom): 171
Formation energy without anion corrections (eV/atom): 0.1100

---

No. 6
Compound: BeAlAs2
Source: the Alexandria database
Functional: GGA-PBEsol
Structure: relaxed

abc: 3.9155 3.4800 5.0683
angles: 90.00 107.47 90.00
Fractional coordinates of all 4 atoms:
Be (0.0000, 0.0000, 0.0000)
Al (0.5000, 0.0000, 0.5000)
As (0.2320, 0.5000, 0.7831)
As (0.7680, 0.5000, 0.2169)

E (eV for the cell shown): -17.631
Calculated volume (Å³/cell): 65.9
Excess energy over the best structure of this formula in the dataset (meV per atom): 293
ΔE_f (eV/f.u.): 0.7

---

No. 7
Compound: ScAg
Source: the Alexandria database
Functional: GGA-PBEsol
Structure: relaxed

abc: 3.2251 3.2251 4.4578
angles: 90.00 90.00 120.00
Fractional coordinates of all 2 atoms:
Sc (0.0000, 0.0000, 0.0000)
Ag (0.3333, 0.6667, 0.5000)

E (eV for the cell shown): -9.993
Calculated volume (Å³/cell): 40.2
ΔE_f (eV/f.u.): -0.1

---

No. 8
Compound: Fe3MoAu
Source: the Alexandria database
Functional: GGA-PBEsol
Structure: relaxed

abc: 4.3286 4.3286 4.3286
angles: 90.00 90.00 90.00
Fractional coordinates of all 5 atoms:
Fe (0.0000, 0.0000, 0.5000)
Fe (0.0000, 0.5000, 0.0000)
Fe (0.5000, 0.0000, 0.0000)
Mo (0.0000, 0.0000, 0.0000)
Au (0.5000, 0.5000, 0.5000)

E (eV for the cell shown): -35.089
Calculated volume (Å³/cell): 81.1
ΔE_f (eV/f.u.): 7.5

---

No. 9
Compound: Ho2SiSO4
Source: the Alexandria database
Functional: GGA-PBEsol
Structure: relaxed

abc: 5.9849 6.8372 10.5310
angles: 90.00 90.00 90.00
Fractional coordinates of all 32 atoms:
Ho (0.1114, 0.2500, 0.0000)
Ho (0.1114, 0.2500, 0.5000)
Ho (0.3470, 0.5272, 0.2500)
Ho (0.3470, 0.9728, 0.7500)
Ho (0.6530, 0.0272, 0.2500)
Ho (0.6530, 0.4728, 0.7500)
Ho (0.8886, 0.7500, 0.0000)
Ho (0.8886, 0.7500, 0.5000)
Si (0.3833, 0.7500, 0.0000)
Si (0.3833, 0.7500, 0.5000)
Si (0.6167, 0.2500, 0.0000)
Si (0.6167, 0.2500, 0.5000)
S (0.0432, 0.6670, 0.7500)
S (0.0432, 0.8330, 0.2500)
S (0.9568, 0.1670, 0.7500)
S (0.9568, 0.3330, 0.2500)
O (0.2174, 0.5655, 0.0303)
O (0.2174, 0.5655, 0.4697)
O (0.2174, 0.9345, 0.5303)
O (0.2174, 0.9345, 0.9697)
O (0.4510, 0.2410, 0.6237)
O (0.4510, 0.2410, 0.8763)
O (0.4510, 0.2590, 0.1237)
O (0.4510, 0.2590, 0.3763)
O (0.5490, 0.7410, 0.6237)
O (0.5490, 0.7410, 0.8763)
O (0.5490, 0.7590, 0.1237)
O (0.5490, 0.7590, 0.3763)
O (0.7826, 0.0655, 0.0303)
O (0.7826, 0.0655, 0.4697)
O (0.7826, 0.4345, 0.5303)
O (0.7826, 0.4345, 0.9697)

E (eV for the cell shown): -263.644
Calculated volume (Å³/cell): 430.9
Formation energy without anion corrections (eV/atom): -3.1103

---

No. 10
Compound: AlAs2Br
Source: the Alexandria database
Functional: GGA-PBEsol
Structure: relaxed

abc: 6.0244 6.0244 6.0244
angles: 149.38 134.16 56.14
Fractional coordinates of all 4 atoms:
Al (0.0000, 0.0000, 0.0000)
As (0.2096, 0.7096, 0.5000)
As (0.7904, 0.2904, 0.5000)
Br (0.5000, 0.5000, 0.0000)

E (eV for the cell shown): -15.861
Calculated volume (Å³/cell): 79.3
Excess energy over the best structure of this formula in the dataset (meV per atom): 80
Formation energy without anion corrections (eV/atom): 0.0782

---

No. 11
Compound: LiZrAg2
Source: the Alexandria database
Functional: GGA-PBEsol
Structure: relaxed

abc: 5.8809 5.8809 5.8809
angles: 151.76 129.79 58.60
Fractional coordinates of all 4 atoms:
Li (0.0000, 0.0000, 0.0000)
Zr (0.2902, 0.7902, 0.5000)
Ag (0.5357, 0.5357, 0.0000)
Ag (0.7653, 0.2653, 0.5000)

E (eV for the cell shown): -17.529
Calculated volume (Å³/cell): 73.4
ΔE_f (eV/f.u.): 0.2

---

No. 12
Compound: La2MnPt
Source: the Alexandria database
Functional: GGA-PBEsol
Structure: relaxed

abc: 5.8292 5.8292 5.8292
angles: 137.51 137.51 61.66
Fractional coordinates of all 4 atoms:
La (0.0000, 0.0000, 0.0000)
La (0.7500, 0.2500, 0.5000)
Mn (0.5000, 0.5000, 0.0000)
Pt (0.2500, 0.7500, 0.5000)

E (eV for the cell shown): -28.047
Calculated volume (Å³/cell): 89.3
ΔE_f (eV/f.u.): -0.6

---

No. 13
Compound: BeIn2Os
Source: the Alexandria database
Functional: GGA-PBEsol
Structure: relaxed

abc: 4.5052 4.5052 4.5052
angles: 60.00 60.00 60.00
Fractional coordinates of all 4 atoms:
Be (0.0000, 0.0000, 0.0000)
In (0.2500, 0.2500, 0.2500)
In (0.5000, 0.5000, 0.5000)
Os (0.7500, 0.7500, 0.7500)

E (eV for the cell shown): -19.483
Calculated volume (Å³/cell): 64.7
ΔE_f (eV/f.u.): 2.7

---

No. 14
Compound: Tm5Ir3
Source: the Alexandria database
Functional: GGA-PBEsol
Structure: relaxed

abc: 8.1289 8.1289 5.9886
angles: 90.00 90.00 120.00
Fractional coordinates of all 16 atoms:
Tm (0.0000, 0.2616, 0.2500)
Tm (0.0000, 0.7384, 0.7500)
Tm (0.2616, 0.0000, 0.2500)
Tm (0.2616, 0.2616, 0.7500)
Tm (0.3333, 0.6667, 0.0000)
Tm (0.3333, 0.6667, 0.5000)
Tm (0.6667, 0.3333, 0.0000)
Tm (0.6667, 0.3333, 0.5000)
Tm (0.7384, 0.0000, 0.7500)
Tm (0.7384, 0.7384, 0.2500)
Ir (0.0000, 0.3893, 0.7500)
Ir (0.0000, 0.6107, 0.2500)
Ir (0.3893, 0.0000, 0.7500)
Ir (0.3893, 0.3893, 0.2500)
Ir (0.6107, 0.0000, 0.2500)
Ir (0.6107, 0.6107, 0.7500)

E (eV for the cell shown): -120.946
Calculated volume (Å³/cell): 342.7
Excess energy over the best structure of this formula in the dataset (meV per atom): 33
ΔE_f (eV/f.u.): -6.5

---

No. 15
Compound: Pt2Rh
Source: the Alexandria database
Functional: GGA-PBEsol
Structure: relaxed

abc: 5.3111 5.3111 6.5510
angles: 106.29 106.29 29.59
Fractional coordinates of all 6 atoms:
Pt (0.0000, 0.0000, 0.0000)
Pt (0.0552, 0.0552, 0.6091)
Pt (0.3320, 0.3320, 0.6661)
Pt (0.6691, 0.6691, 0.3288)
Rh (0.3876, 0.3876, 0.2701)
Rh (0.7242, 0.7242, 0.9467)

E (eV for the cell shown): -43.722
Calculated volume (Å³/cell): 87.3
ΔE_f (eV/f.u.): 0.2

---

No. 16
Compound: Li5Si2BiO8
Source: the Alexandria database
Functional: GGA-PBEsol
Structure: relaxed

abc: 5.3583 5.3583 6.3806
angles: 91.30 91.30 92.83
Fractional coordinates of all 16 atoms:
Li (0.0000, 0.0000, 0.0000)
Li (0.3496, 0.6504, 0.0000)
Li (0.5074, 0.1370, 0.2178)
Li (0.8630, 0.4926, 0.7822)
Li (0.9659, 0.0341, 0.5000)
Si (0.5137, 0.1462, 0.7611)
Si (0.8538, 0.4863, 0.2389)
Bi (0.3579, 0.6421, 0.5000)
O (0.3731, 0.0016, 0.9484)
O (0.3747, 0.0677, 0.5258)
O (0.4850, 0.4549, 0.7836)
O (0.5451, 0.5150, 0.2164)
O (0.8132, 0.1148, 0.7536)
O (0.8852, 0.1868, 0.2464)
O (0.9323, 0.6253, 0.4742)
O (0.9984, 0.6269, 0.0516)

E (eV for the cell shown): -103.399
Calculated volume (Å³/cell): 182.9
Formation energy without anion corrections (eV/atom): -2.2370

---

No. 17
Compound: YMgS2N
Source: the Alexandria database
Functional: GGA-PBEsol
Structure: relaxed

abc: 5.1975 5.1975 4.3066
angles: 90.00 90.00 90.00
Fractional coordinates of all 5 atoms:
Y (0.0000, 0.0000, 0.0000)
Mg (0.5000, 0.5000, 0.5000)
S (0.0000, 0.5000, 0.0000)
S (0.5000, 0.0000, 0.0000)
N (0.0000, 0.0000, 0.5000)

E (eV for the cell shown): -26.953
Calculated volume (Å³/cell): 116.3
Formation energy without anion corrections (eV/atom): -0.2237

---

No. 18
Compound: BaGaSe2
Source: the Alexandria database
Functional: GGA-PBEsol
Structure: relaxed

abc: 8.2157 8.2157 8.2157
angles: 133.71 133.71 67.54
Fractional coordinates of all 8 atoms:
Ba (0.0000, 0.0000, 0.0000)
Ba (0.7500, 0.2500, 0.5000)
Ga (0.2500, 0.7500, 0.5000)
Ga (0.5000, 0.5000, 0.0000)
Se (0.2045, 0.6250, 0.0795)
Se (0.3750, 0.4545, 0.5795)
Se (0.5455, 0.1250, 0.9205)
Se (0.8750, 0.7955, 0.4205)

E (eV for the cell shown): -34.064
Calculated volume (Å³/cell): 284.9
Formation energy without anion corrections (eV/atom): -0.9608

---

No. 19
Compound: InRe2Pb
Source: the Alexandria database
Functional: GGA-PBEsol
Structure: relaxed

abc: 4.6950 4.6950 4.6950
angles: 60.00 60.00 60.00
Fractional coordinates of all 4 atoms:
In (0.0000, 0.0000, 0.0000)
Re (0.2500, 0.2500, 0.2500)
Re (0.5000, 0.5000, 0.5000)
Pb (0.7500, 0.7500, 0.7500)

E (eV for the cell shown): -29.473
Calculated volume (Å³/cell): 73.2
Excess energy over the best structure of this formula in the dataset (meV per atom): 9
ΔE_f (eV/f.u.): 4.2

---

No. 20
Compound: BeOs
Source: the Alexandria database
Functional: GGA-PBEsol
Structure: relaxed

abc: 2.7767 2.7767 5.6720
angles: 90.00 90.00 90.00
Fractional coordinates of all 4 atoms:
Be (0.2500, 0.2500, 0.0916)
Be (0.7500, 0.7500, 0.9084)
Os (0.2500, 0.2500, 0.6524)
Os (0.7500, 0.7500, 0.3476)

E (eV for the cell shown): -33.291
Calculated volume (Å³/cell): 43.7
ΔE_f (eV/f.u.): -0.4